[1]
Ag4Br5 | Alexandria via LeMat-Bulk | GGA-PBE | optimized geometry; relative energy among the computed polymorphs = 68 meV/atom; magnetic moment = 0.00 Bohr magnetons per cell; final energy = -2.23 eV/atom
1.0
-7.911 7.911 1.693
7.911 -7.911 1.693
7.911 7.911 -1.693
Ag Br
4 5
Cartesian
2.692 0.000 0.000 Ag
13.130 0.000 0.000 Ag
0.000 2.692 0.000 Ag
0.000 13.130 0.000 Ag
0.000 0.000 0.000 Br
5.498 5.498 0.000 Br
2.413 -2.413 1.693 Br
-2.413 2.413 1.693 Br
2.413 2.413 1.693 Br


[2]
AgBr4 | Alexandria via LeMat-Bulk | GGA-PBE | optimized geometry; relative energy among the computed polymorphs = 0 meV/atom; magnetic moment = 0.00 Bohr magnetons per cell; final energy = -2.02 eV/atom
1.0
3.913 0.000 0.000
1.952 4.011 0.000
1.891 -0.875 11.171
Ag Br
1 4
Cartesian
0.000 0.000 0.000 Ag
1.933 1.260 4.434 Br
1.955 0.981 1.515 Br
5.800 2.155 9.656 Br
5.822 1.877 6.737 Br


[3]
Ag8Br | Alexandria via LeMat-Bulk | GGA-PBE | optimized geometry; magnetic moment = 0.00 Bohr magnetons per cell; final energy = -2.66 eV/atom
1.0
-4.543 4.543 2.082
4.543 -4.543 2.082
4.543 4.543 -2.082
Ag Br
8 1
Cartesian
3.093 0.000 0.000 Ag
5.993 0.000 0.000 Ag
2.957 2.957 0.000 Ag
1.586 -1.586 2.082 Ag
0.000 3.093 0.000 Ag
0.000 5.993 0.000 Ag
-1.586 1.586 2.082 Ag
1.586 1.586 2.082 Ag
0.000 0.000 0.000 Br